Density functional theory data (PBE+U) for an optimized crystal structure of CdCoSeO.

The uncorrected energy comes out at -28.57 eV per cell. As for the total magnetization: 3.4 μB/cell. The value obtained for the polymorph energy (0 for the lowest one) is 704 meV per atom.

The space group is P4/nmm (No. 129, origin choice 2) and the conventional cell measures 4.041, 4.041 and 8.074 Å, with angles of 90.00, 90.00 and 90.00 degrees. The inequivalent atoms are Cd at (0.250, 0.750, 0.000), Co at (0.250, 0.250, 0.242), Se at (0.250, 0.250, 0.690) and O at (0.250, 0.250, 0.479).